Record 1
Below is a relaxed Li2TmMg crystal, with properties calculated at the PBE level.

Lattice parameters (Å, degrees): 7.070 7.070 7.070 90.00 90.00 90.00
Space group Fm-3m (No. 225)
Symmetry-distinct sites (fractional):
Li  0.250  0.250  0.250 [8 per cell]
Tm  0.000  0.000  0.000 [4 per cell]
Mg  0.000  0.000  0.500 [4 per cell]

- ΔE to the lowest computed polymorph (meV/atom) = 25.5
- DOS(E_F) (states/eV/f.u.) = 4.79
- total magnetization (μB per cell) = 3.128
- formation energy from the elements (kJ/mol of atoms) = 9.3
- total energy (eV/atom) = -2.38

***

Record 2
Below is a relaxed MnRePt4 crystal, with properties calculated at the PBE level.

Lattice parameters (Å, degrees): 7.353 7.353 7.353 90.00 90.00 90.00
Space group F-43m (No. 216)
Symmetry-distinct sites (fractional):
Mn  0.000  0.000  0.000 [4 per cell]
Re  0.250  0.250  0.250 [4 per cell]
Pt  0.125  0.125  0.625 [16 per cell]

- DOS(E_F) (states/eV/f.u.) = 4.54
- total magnetization (μB per cell) = 6.847
- formation energy from the elements (kJ/mol of atoms) = 30.0
- total energy (eV/atom) = -7.32

***

Record 3
Below is a relaxed Ac7HoPb5 crystal, with properties calculated at the PBE level.

Lattice parameters (Å, degrees): 6.987 11.672 12.075 90.00 90.00 90.00
Space group Imm2 (No. 44)
Symmetry-distinct sites (fractional):
Ac  0.000  0.000  0.000 [2 per cell]
Ac  0.000  0.000  0.358 [2 per cell]
Ac  0.000  0.319  0.562 [4 per cell]
Ac  0.000  0.336  0.049 [4 per cell]
Ac  0.000  0.500  0.312 [2 per cell]
Ho  0.000  0.000  0.678 [2 per cell]
Pb  0.000  0.500  0.798 [2 per cell]
Pb  0.232  0.236  0.806 [8 per cell]

- DOS(E_F) (states/eV/f.u.) = 13.64
- total magnetization (μB per cell) = 0.000
- formation energy from the elements (kJ/mol of atoms) = -28.3
- total energy (eV/atom) = -4.28

***

Record 4
Below is a relaxed Zr2ZnB crystal, with properties calculated at the PBE level.

Lattice parameters (Å, degrees): 3.5179 3.5179 20.0256 90.00 90.00 120.00
Space group R-3m (No. 166, hexagonal axes)
Symmetry-distinct sites (fractional):
Zr  0.0000  0.0000  0.2304 [6 per cell]
Zn  0.0000  0.0000  0.0000 [3 per cell]
B  0.0000  0.0000  0.5000 [3 per cell]

- ΔE to the lowest computed polymorph (meV/atom) = 0.0
- DOS(E_F) (states/eV/f.u.) = 2.39
- total magnetization (μB per cell) = 0.000
- formation energy from the elements (kJ/mol of atoms) = -32.6
- total energy (eV/atom) = -6.60

***

Record 5
Below is a relaxed TaZn2TcF crystal, with properties calculated at the PBE level.

Lattice parameters (Å, degrees): 4.880 4.880 3.734 90.00 90.00 90.00
Space group P4/mmm (No. 123)
Symmetry-distinct sites (fractional):
Ta  0.000  0.000  0.000 [1 per cell]
Zn  0.000  0.500  0.500 [2 per cell]
Tc  0.500  0.500  0.500 [1 per cell]
F  0.500  0.500  0.000 [1 per cell]

- DOS(E_F) (states/eV/f.u.) = 5.19
- total magnetization (μB per cell) = 0.000
- total energy (eV/atom) = -4.64

***

Record 6
Below is a relaxed LiPmI2 crystal, with properties calculated at the PBE level.

Lattice parameters (Å, degrees): 3.9680 3.9680 25.3363 90.00 90.00 120.00
Space group R-3m (No. 166, hexagonal axes)
Symmetry-distinct sites (fractional):
Li  0.0000  0.0000  0.0000 [3 per cell]
Pm  0.0000  0.0000  0.5000 [3 per cell]
I  0.0000  0.0000  0.2608 [6 per cell]

- DOS(E_F) (states/eV/f.u.) = 0.89
- total magnetization (μB per cell) = 0.000
- total energy (eV/atom) = -3.41

***

Record 7
Below is a relaxed La4CuRu crystal, with properties calculated at the PBE level.

Lattice parameters (Å, degrees): 9.194 14.854 6.975 90.00 127.81 90.00
Space group C2/c (No. 15)
Symmetry-distinct sites (fractional):
La  0.172  0.211  0.166 [8 per cell]
La  0.248  0.041  0.748 [8 per cell]
Cu  0.000  0.379  0.750 [4 per cell]
Ru  0.000  0.090  0.250 [4 per cell]

- ΔE to the lowest computed polymorph (meV/atom) = 33.6
- DOS(E_F) (states/eV/f.u.) = 7.20
- total magnetization (μB per cell) = 0.000
- formation energy from the elements (kJ/mol of atoms) = -13.6
- total energy (eV/atom) = -5.65

***

Record 8
Below is a relaxed TePbAu2 crystal, with properties calculated at the PBE level.

Lattice parameters (Å, degrees): 3.976 4.737 5.702 90.00 90.00 90.00
Space group Pmmm (No. 47)
Symmetry-distinct sites (fractional):
Te  0.000  0.000  0.000 [1 per cell]
Pb  0.500  0.000  0.500 [1 per cell]
Au  0.000  0.500  0.264 [2 per cell]

- ΔE to the lowest computed polymorph (meV/atom) = 34.3
- DOS(E_F) (states/eV/f.u.) = 1.50
- total magnetization (μB per cell) = 0.000
- total energy (eV/atom) = -3.36

***

Record 9
Below is a relaxed HoThZn2 crystal, with properties calculated at the PBE level.

Lattice parameters (Å, degrees): 3.5588 3.5588 27.6514 90.00 90.00 120.00
Space group R-3m (No. 166, hexagonal axes)
Symmetry-distinct sites (fractional):
Ho  0.0000  0.0000  0.0000 [3 per cell]
Th  0.0000  0.0000  0.5000 [3 per cell]
Zn  0.0000  0.0000  0.2539 [6 per cell]

- DOS(E_F) (states/eV/f.u.) = 3.96
- total magnetization (μB per cell) = 0.000
- formation energy from the elements (kJ/mol of atoms) = -6.1
- total energy (eV/atom) = -3.70

***

Record 10
Below is a relaxed CuPO2F crystal, with properties calculated at the PBE level.

Lattice parameters (Å, degrees): 3.502 3.502 4.313 90.00 90.00 90.00
Space group P4/mmm (No. 123)
Symmetry-distinct sites (fractional):
Cu  0.000  0.000  0.000 [1 per cell]
P  0.500  0.500  0.500 [1 per cell]
O  0.000  0.500  0.500 [2 per cell]
F  0.500  0.500  0.000 [1 per cell]

- DOS(E_F) (states/eV/f.u.) = 0.63
- total magnetization (μB per cell) = 0.000
- total energy (eV/atom) = -4.96

***

Record 11
Below is a relaxed TbZn3Ge2 crystal, with properties calculated at the PBE level.

Lattice parameters (Å, degrees): 15.202 4.215 8.273 90.00 120.52 90.00
Space group C2/m (No. 12)
Symmetry-distinct sites (fractional):
Tb  0.146  0.000  0.219 [4 per cell]
Zn  0.082  0.000  0.770 [4 per cell]
Zn  0.088  0.500  0.498 [4 per cell]
Zn  0.214  0.500  0.023 [4 per cell]
Ge  0.019  0.500  0.866 [4 per cell]
Ge  0.191  0.000  0.615 [4 per cell]

- DOS(E_F) (states/eV/f.u.) = 1.40
- total magnetization (μB per cell) = 0.000
- formation energy from the elements (kJ/mol of atoms) = -26.2
- total energy (eV/atom) = -3.22

***

Record 12
Below is a relaxed BeP2PdS crystal, with properties calculated at the PBE level.

Lattice parameters (Å, degrees): 4.189 4.189 4.362 90.00 90.00 90.00
Space group P4/mmm (No. 123)
Symmetry-distinct sites (fractional):
Be  0.000  0.000  0.000 [1 per cell]
P  0.000  0.500  0.000 [2 per cell]
Pd  0.500  0.500  0.500 [1 per cell]
S  0.000  0.000  0.500 [1 per cell]

- ΔE to the lowest computed polymorph (meV/atom) = 0.0
- DOS(E_F) (states/eV/f.u.) = 2.98
- total magnetization (μB per cell) = 0.000
- total energy (eV/atom) = -4.19